# PBE KBaZn, optimized geometry
data_KBaZn
_chemical_formula_sum 'K2 Ba2 Zn2'
_cell_length_a 4.1945
_cell_length_b 4.1945
_cell_length_c 15.5652
_cell_angle_alpha 90.00
_cell_angle_beta 90.00
_cell_angle_gamma 90.00
_space_group_name_H-M_alt 'I 4 m m'
_space_group_IT_number 107
_space_group_name_Hall 'I 4 -2'
loop_
_atom_site_label
_atom_site_fract_x
_atom_site_fract_y
_atom_site_fract_z
K1 0.0000 0.0000 0.0000
Ba1 0.0000 0.0000 0.2587
Zn1 0.0000 0.0000 0.6471
# Total DFT energy (no corrections), eV for the cell shown: -8.437
# Calculated formation energy, meV per atom: 25